La5TbPr2Sc | PBE-GGA | relaxed

```
La5TbPr2Sc
1.0
-4.274 4.274 8.760
4.274 -4.274 8.760
4.274 4.274 -8.760
La Tb Pr Sc
10 2 4 2
Direct
0.000 0.000 0.000
0.075 0.575 0.942
0.133 0.075 0.500
0.367 0.867 0.942
0.425 0.367 0.500
0.500 0.500 0.000
0.575 0.633 0.500
0.633 0.133 0.058
0.867 0.925 0.500
0.925 0.425 0.058
0.250 0.250 0.000
0.750 0.750 0.000
0.126 0.374 0.500
0.374 0.874 0.248
0.626 0.126 0.752
0.874 0.626 0.500
0.250 0.750 0.500
0.750 0.250 0.500
```

Summary:
Formation energy in eV/atom: 0.268
Volume in A^3/atom: 35.56

---

LaTbPrSc | PBE-GGA | relaxed

```
LaTbPrSc
1.0
0.000 4.016 4.016
4.016 0.000 4.016
4.016 4.016 0.000
La Tb Pr Sc
1 1 1 1
Direct
0.000 0.000 0.000
0.750 0.750 0.750
0.500 0.500 0.500
0.250 0.250 0.250
```

Summary:
Formation energy in eV/atom: 0.095
Volume in A^3/atom: 32.37

---

La5Tb2PrSc | PBE-GGA | relaxed

```
La5Tb2PrSc
1.0
9.217 0.000 0.000
0.000 9.217 0.000
0.000 0.000 7.474
La Tb Pr Sc
10 4 2 2
Direct
0.000 0.000 0.000
0.205 0.295 0.279
0.205 0.295 0.721
0.295 0.795 0.279
0.295 0.795 0.721
0.500 0.500 0.000
0.705 0.205 0.279
0.705 0.205 0.721
0.795 0.705 0.279
0.795 0.705 0.721
0.113 0.613 0.000
0.387 0.113 0.000
0.613 0.887 0.000
0.887 0.387 0.000
0.000 0.000 0.500
0.500 0.500 0.500
0.000 0.500 0.500
0.500 0.000 0.500
```

Summary:
Formation energy in eV/atom: 0.282
Volume in A^3/atom: 35.27

---

La3Tb6Pr2Sc | PBE-GGA | relaxed

```
La3Tb6Pr2Sc
1.0
3.121 -5.409 0.000
3.121 5.409 0.000
-2.086 0.000 11.755
La Tb Pr Sc
3 6 2 1
Direct
0.000 0.000 0.000
0.333 0.667 0.000
0.667 0.333 0.000
0.089 0.419 0.255
0.252 0.252 0.746
0.419 0.089 0.255
0.581 0.911 0.745
0.748 0.748 0.254
0.911 0.581 0.745
0.166 0.834 0.500
0.834 0.166 0.500
0.500 0.500 0.500
```

Summary:
Formation energy in eV/atom: 0.027
Volume in A^3/atom: 33.07

---

La2Tb6Pr3Sc | PBE-GGA | relaxed

```
La2Tb6Pr3Sc
1.0
3.123 -5.410 0.000
3.123 5.410 0.000
-2.080 0.000 11.744
La Tb Pr Sc
2 6 3 1
Direct
0.166 0.834 0.000
0.834 0.166 0.000
0.088 0.418 0.752
0.252 0.252 0.248
0.418 0.088 0.752
0.582 0.912 0.248
0.748 0.748 0.752
0.912 0.582 0.248
0.000 0.000 0.500
0.333 0.667 0.500
0.667 0.333 0.500
0.500 0.500 0.000
```

Summary:
Formation energy in eV/atom: 0.027
Volume in A^3/atom: 33.07

---

LaTb2Pr5Sc | PBE-GGA | relaxed

```
LaTb2Pr5Sc
1.0
2.865 -10.202 0.000
2.865 10.202 0.000
0.000 0.000 10.602
La Tb Pr Sc
2 4 10 2
Direct
0.090 0.910 0.500
0.910 0.090 0.000
0.383 0.617 0.777
0.387 0.613 0.350
0.613 0.387 0.850
0.617 0.383 0.277
0.014 0.986 0.784
0.126 0.874 0.060
0.204 0.796 0.748
0.224 0.776 0.363
0.484 0.516 0.058
0.516 0.484 0.558
0.776 0.224 0.863
0.796 0.204 0.248
0.874 0.126 0.560
0.986 0.014 0.284
0.305 0.695 0.054
0.695 0.305 0.554
```

Summary:
Formation energy in eV/atom: 0.157
Volume in A^3/atom: 34.43

---

La2PrScTe4 | PBE-GGA | relaxed

```
La2PrScTe4
1.0
7.735 0.000 0.000
0.000 4.431 0.000
-2.543 0.000 7.389
La Pr Sc Te
2 1 1 4
Direct
0.000 0.000 0.000
0.000 0.500 0.500
0.500 0.000 0.500
0.500 0.500 0.000
0.262 0.500 0.241
0.272 0.000 0.770
0.728 0.000 0.230
0.738 0.500 0.759
```

Summary:
Volume in A^3/atom: 31.65
ΔE_f (raw) in eV/atom: -1.4087

---

LaPrScTe3 | PBE-GGA | relaxed

```
LaPrScTe3
1.0
9.228 0.000 0.000
0.000 4.389 0.000
-2.614 0.000 9.630
La Pr Sc Te
2 2 2 6
Direct
0.178 0.250 0.228
0.822 0.750 0.772
0.343 0.750 0.851
0.657 0.250 0.149
0.093 0.250 0.597
0.907 0.750 0.403
0.095 0.250 0.883
0.240 0.750 0.497
0.423 0.750 0.185
0.577 0.250 0.815
0.760 0.250 0.503
0.905 0.750 0.117
```

Summary:
Volume in A^3/atom: 32.50
ΔE_f (raw) in eV/atom: -1.3048